# 1
! PBE-GGA NpTaTl2O6, optimized geometry; values from VASP
! formation energy (no corrections): -2.21 eV/atom
! total magnetic moment: 2.0 μB/f.u.
&SYSTEM
  ibrav = 0, nat = 10, ntyp = 4
/
ATOMIC_SPECIES
Np 237.00 Np.upf
Ta 180.95 Ta.upf
Tl 204.38 Tl.upf
O 16.00 O.upf
CELL_PARAMETERS angstrom
0.000 4.209 4.209
4.209 0.000 4.209
4.209 4.209 0.000
ATOMIC_POSITIONS crystal
Np 0.000 0.000 0.000
Ta 0.500 0.500 0.500
Tl 0.250 0.250 0.250
Tl 0.750 0.750 0.750
O 0.259 0.259 0.741
O 0.259 0.741 0.259
O 0.259 0.741 0.741
O 0.741 0.259 0.259
O 0.741 0.259 0.741
O 0.741 0.741 0.259

# 2
! PBE-GGA Pm14ErMg, optimized geometry; values from VASP
! energy relative to the elements: 0.010 eV/atom
! total magnetic moment: 0.0 μB/f.u.
&SYSTEM
  ibrav = 0, nat = 16, ntyp = 3
/
ATOMIC_SPECIES
Pm 145.00 Pm.upf
Er 167.26 Er.upf
Mg 24.30 Mg.upf
CELL_PARAMETERS angstrom
10.249 0.000 0.000
0.000 5.104 5.106
0.000 -5.104 5.106
ATOMIC_POSITIONS crystal
Pm 0.000 0.000 0.000
Pm 0.000 0.000 0.499
Pm 0.000 0.499 0.000
Pm 0.000 0.500 0.500
Pm 0.252 0.750 0.750
Pm 0.253 0.249 0.750
Pm 0.253 0.750 0.249
Pm 0.254 0.250 0.250
Pm 0.500 0.500 0.998
Pm 0.500 0.998 0.500
Pm 0.746 0.250 0.250
Pm 0.747 0.249 0.750
Pm 0.747 0.750 0.249
Pm 0.748 0.750 0.750
Er 0.500 0.000 0.000
Mg 0.500 0.499 0.499

Repeat the first record exactly.
! PBE-GGA NpTaTl2O6, optimized geometry; values from VASP
! formation energy (no corrections): -2.21 eV/atom
! total magnetic moment: 2.0 μB/f.u.
&SYSTEM
  ibrav = 0, nat = 10, ntyp = 4
/
ATOMIC_SPECIES
Np 237.00 Np.upf
Ta 180.95 Ta.upf
Tl 204.38 Tl.upf
O 16.00 O.upf
CELL_PARAMETERS angstrom
0.000 4.209 4.209
4.209 0.000 4.209
4.209 4.209 0.000
ATOMIC_POSITIONS crystal
Np 0.000 0.000 0.000
Ta 0.500 0.500 0.500
Tl 0.250 0.250 0.250
Tl 0.750 0.750 0.750
O 0.259 0.259 0.741
O 0.259 0.741 0.259
O 0.259 0.741 0.741
O 0.741 0.259 0.259
O 0.741 0.259 0.741
O 0.741 0.741 0.259